Entry 1:
## ZnInCoMo (PBE-GGA)

Data for a relaxed ZnInCoMo crystal.

abc: 4.4421 4.4421 4.4421
angles: 60.00 60.00 60.00
Element x y z (fractional)
Zn 0.0000 0.0000 0.0000
In 0.5000 0.5000 0.5000
Co 0.7500 0.7500 0.7500
Mo 0.2500 0.2500 0.2500

- Volume: 15.5 Å³ per atom
- Distance to the lowest polymorph of the same formula: 91 meV per atom
- SG: F-43m, No. 216

Entry 2:
## TaBe9Mo2 (PBE-GGA)

Data for a relaxed TaBe9Mo2 crystal.

abc: 7.3897 7.3897 7.3897
angles: 35.00 35.00 35.00
Element x y z (fractional)
Ta 0.0000 0.0000 0.0000
Be 0.0774 0.5840 0.5840
Be 0.3341 0.3341 0.3341
Be 0.4160 0.4160 0.9226
Be 0.4160 0.9226 0.4160
Be 0.5000 0.5000 0.5000
Be 0.5840 0.0774 0.5840
Be 0.5840 0.5840 0.0774
Be 0.6659 0.6659 0.6659
Be 0.9226 0.4160 0.4160
Mo 0.1440 0.1440 0.1440
Mo 0.8560 0.8560 0.8560

- E_tot: -0.2160 Ha/atom
- Volume: 9.9 Å³ per atom
- SG: R-3m, No. 166

Entry 3:
## Y4ErTm2Ni2Te2 (PBE-GGA)

Data for a relaxed Y4ErTm2Ni2Te2 crystal.

abc: 9.3486 9.3486 9.3486
angles: 156.22 66.94 118.46
Element x y z (fractional)
Y 0.1459 0.0000 0.1459
Y 0.1681 0.3522 0.8158
Y 0.5364 0.3522 0.1842
Y 0.8541 0.0000 0.8541
Er 0.2312 0.7312 0.5000
Tm 0.5156 0.1487 0.3670
Tm 0.7817 0.1487 0.6330
Ni 0.3989 0.6585 0.7404
Ni 0.9181 0.6585 0.2596
Te 0.4972 0.4972 0.0000
Te 0.8925 0.3925 0.5000

- Volume: 26.1 Å³ per atom
- Distance to the lowest polymorph of the same formula: 11 meV per atom
- SG: Imm2, No. 44

Entry 4:
## CsPrSbSe3 (PBE-GGA)

Data for a relaxed CsPrSbSe3 crystal.

abc: 8.8987 8.8987 11.0533
angles: 90.00 90.00 150.72
Element x y z (fractional)
Cs 0.2492 0.7508 0.7500
Cs 0.7508 0.2492 0.2500
Pr 0.0000 0.0000 0.0000
Pr 0.0000 0.0000 0.5000
Sb 0.4617 0.5383 0.2500
Sb 0.5383 0.4617 0.7500
Se 0.0873 0.9127 0.2500
Se 0.3814 0.6186 0.0381
Se 0.3814 0.6186 0.4619
Se 0.6186 0.3814 0.5381
Se 0.6186 0.3814 0.9619
Se 0.9127 0.0873 0.7500

- E_tot: -0.1597 Ha/atom
- Volume: 35.7 Å³ per atom
- SG: Cmcm, No. 63

Entry 5:
## POsPtO (PBE-GGA)

Data for a relaxed POsPtO crystal.

abc: 4.1764 4.1764 6.1023
angles: 90.00 90.00 90.00
Element x y z (fractional)
P 0.2500 0.2500 0.1819
P 0.7500 0.7500 0.8181
Os 0.2500 0.7500 0.0000
Os 0.7500 0.2500 0.0000
Pt 0.2500 0.2500 0.5869
Pt 0.7500 0.7500 0.4131
O 0.2500 0.7500 0.5000
O 0.7500 0.2500 0.5000

- Volume: 13.3 Å³ per atom
- Distance to the lowest polymorph of the same formula: 341 meV per atom
- SG: P4/nmm, No. 129

Entry 6:
## TbSiPd2 (PBE-GGA)

Data for a relaxed TbSiPd2 crystal.

abc: 7.3476 6.9830 5.5433
angles: 90.00 90.00 90.00
Element x y z (fractional)
Tb 0.0278 0.2500 0.1408
Tb 0.4722 0.7500 0.6408
Tb 0.5278 0.2500 0.3592
Tb 0.9722 0.7500 0.8592
Si 0.1225 0.7500 0.3586
Si 0.3775 0.2500 0.8586
Si 0.6225 0.7500 0.1414
Si 0.8775 0.2500 0.6414
Pd 0.1773 0.0520 0.5942
Pd 0.1773 0.4480 0.5942
Pd 0.3227 0.5520 0.0942
Pd 0.3227 0.9480 0.0942
Pd 0.6773 0.0520 0.9058
Pd 0.6773 0.4480 0.9058
Pd 0.8227 0.5520 0.4058
Pd 0.8227 0.9480 0.4058

- E_tot: -0.2235 Ha/atom
- Volume: 17.8 Å³ per atom
- SG: Pnma, No. 62

Entry 7:
## PaAsAuO (PBE-GGA)

Data for a relaxed PaAsAuO crystal.

abc: 6.0045 6.0045 4.6105
angles: 90.00 90.00 90.00
Element x y z (fractional)
Pa 0.2500 0.7500 0.0000
Pa 0.7500 0.2500 0.0000
As 0.2500 0.2500 0.0008
As 0.7500 0.7500 0.9992
Au 0.2500 0.2500 0.5010
Au 0.7500 0.7500 0.4990
O 0.2500 0.7500 0.5000
O 0.7500 0.2500 0.5000

- Volume: 20.8 Å³ per atom
- Distance to the lowest polymorph of the same formula: 544 meV per atom
- SG: P4/nmm, No. 129

Entry 8:
## TbHoCo2 (PBE-GGA)

Data for a relaxed TbHoCo2 crystal.

abc: 3.2186 3.2186 9.0617
angles: 90.00 90.00 120.00
Element x y z (fractional)
Tb 0.0000 0.0000 0.0000
Ho 0.3333 0.6667 0.5000
Co 0.3333 0.6667 0.2239
Co 0.3333 0.6667 0.7761

- ΔE_f: 0.67 eV/atom
- Volume: 20.3 Å³ per atom
- SG: P-6m2, No. 187

Question: Among the records above, which one has the highest volume?
Answer: CsPrSbSe3

Question: Which value of volume does entry 8 give?
Answer: 20.3 Å³ per atom

Question: Which of these has the highest volume?
Answer: CsPrSbSe3